Here is a geometry-optimized Ta8Pt structure from Alexandria via LeMat-Bulk. Energies are from GGA-PBE. Values from VASP.

```
&SYSTEM
  ibrav = 0, nat = 9, ntyp = 2
/
ATOMIC_SPECIES
Ta 180.95 Ta.upf
Pt 195.08 Pt.upf
CELL_PARAMETERS angstrom
0.000 4.976 6.888
2.341 0.000 6.888
2.341 4.976 0.000
ATOMIC_POSITIONS angstrom
Ta 2.341 4.976 2.288
Ta 2.341 1.652 6.888
Ta 2.341 3.319 4.594
Ta 2.341 6.633 4.594
Ta 2.341 3.319 9.182
Ta 2.341 6.633 9.182
Ta 2.341 8.300 6.888
Ta 2.341 4.976 11.488
Pt 2.341 4.976 6.888
```

Output
- DFT formation energy: -0.15 eV per atom
- Density of states at the Fermi level: 1.05 states/eV per atom
- Space group: Fmmm (69)
- Offset from the most stable computed form: 47 meV per atom